Material: TaNiRhO6
Method: DFT, PBE+U
State: relaxed

Properties
total DFT energy (no corrections)	-7.241	eV/atom
crystal system	tetragonal
magnetization	0.23	μB per cell
D(E_F)	9.28	states/eV per cell

Geometry as CIF:
```
data_TaNiRhO6
_chemical_formula_sum 'Ta2 Ni2 Rh2 O12'
_cell_length_a 4.691
_cell_length_b 4.691
_cell_length_c 9.189
_cell_angle_alpha 90.00
_cell_angle_beta 90.00
_cell_angle_gamma 90.00
_space_group_name_H-M_alt 'P 42 n m'
_space_group_IT_number 102
loop_
_space_group_symop_operation_xyz
'x,y,z'
'-y+1/2,x+1/2,z+1/2'
'-x,-y,z'
'y+1/2,-x+1/2,z+1/2'
'-x+1/2,y+1/2,z+1/2'
'y,x,z'
'x+1/2,-y+1/2,z+1/2'
'-y,-x,z'
loop_
_atom_site_label
_atom_site_type_symbol
_atom_site_fract_x
_atom_site_fract_y
_atom_site_fract_z
Ta1 Ta 0.000 0.000 0.000
Ni1 Ni 0.000 0.000 0.331
Rh1 Rh 0.000 0.000 0.666
O1 O 0.193 0.193 0.833
O2 O 0.198 0.198 0.504
O3 O 0.205 0.205 0.158
```